# 1
First-principles (PBE) data for an optimized crystal structure of Er7Sn2Hg2, as listed in Alexandria via LeMat-Bulk.

POSCAR file:
```
Er7Sn2Hg2
1.0
-5.999 -2.647 -2.067
3.030 -6.708 -0.204
0.087 -0.169 6.872
Er Sn Hg
7 2 2
Cartesian
-5.108 -4.603 1.315
-0.731 -6.329 5.690
2.226 -4.920 3.286
-2.151 -3.195 -1.088
0.000 0.000 0.000
-0.693 -6.423 2.248
-2.190 -3.101 2.353
-3.327 -5.660 3.834
0.444 -3.864 0.768
-1.225 -8.644 0.291
-1.657 -0.880 4.310
```

Calculated values
As for the calculated formation energy: -170 meV/atom. Its calculated density is 9.06 g cm⁻³.

# 2
First-principles (PBE) data for an optimized crystal structure of Ho4ThAl, as listed in Alexandria via LeMat-Bulk.

POSCAR file:
```
Ho4ThAl
1.0
-2.047 1.022 2.715
1.446 -2.521 2.039
9.766 8.858 4.026
Ho Th Al
4 1 1
Cartesian
1.413 0.804 3.084
6.196 5.620 2.555
3.570 3.238 1.472
7.753 6.554 5.697
0.000 0.000 0.000
4.583 3.679 4.391
```

Calculated values
As for the calculated formation energy: -119 meV/atom. Its calculated density is 8.78 g cm⁻³.

# 3
First-principles (PBE) data for an optimized crystal structure of RbNa2ZnCd, as listed in Alexandria via LeMat-Bulk.

POSCAR file:
```
RbNa2ZnCd
1.0
5.927 0.000 0.000
0.000 5.927 0.000
0.000 0.000 5.183
Na Zn Rb Cd
2 1 1 1
Cartesian
0.000 2.964 0.000
2.964 0.000 0.000
0.000 0.000 0.000
2.964 2.964 2.591
0.000 0.000 2.591
```

Calculated values
As for the calculated formation energy: 54 meV/atom. The calculation puts the offset from the most stable computed form at 0.000 eV per atom. Its calculated density is 2.82 g cm⁻³.

The total DFT energy (no corrections) results, record by record, are as follows: -42.42, -30.19, -5.53 eV/f.u..